# PBE-GGA YCr2Ag, optimized geometry
# D(E_F) = 0.732 states/eV/atom
# Energy relative to the elements = 308 meV per atom
data_YCr2Ag
_symmetry_space_group_name_H-M 'I m m 2'
_symmetry_Int_Tables_number 44
_cell_length_a 4.0893
_cell_length_b 4.7214
_cell_length_c 8.0533
_cell_angle_alpha 90.00
_cell_angle_beta 90.00
_cell_angle_gamma 90.00
loop_
_symmetry_equiv_pos_as_xyz
'x,y,z'
'-x,-y,z'
'-x,y,z'
'x,-y,z'
'x+1/2,y+1/2,z+1/2'
'-x+1/2,-y+1/2,z+1/2'
'-x+1/2,y+1/2,z+1/2'
'x+1/2,-y+1/2,z+1/2'
loop_
_atom_site_label
_atom_site_fract_x
_atom_site_fract_y
_atom_site_fract_z
Y1 0.0000 0.0000 0.0000
Cr1 0.0000 0.0000 0.5390
Cr2 0.0000 0.5000 0.2329
Ag1 0.0000 0.5000 0.7713

---

# PBE-GGA Tb2Sm2Dy3, optimized geometry
# D(E_F) = 1.291 states/eV/atom
# Energy relative to the elements = 16 meV per atom
data_Tb2Sm2Dy3
_symmetry_space_group_name_H-M 'P -1'
_symmetry_Int_Tables_number 2
_cell_length_a 3.5712
_cell_length_b 6.1740
_cell_length_c 10.7176
_cell_angle_alpha 95.55
_cell_angle_beta 90.05
_cell_angle_gamma 106.69
loop_
_symmetry_equiv_pos_as_xyz
'x,y,z'
'-x,-y,-z'
loop_
_atom_site_label
_atom_site_fract_x
_atom_site_fract_y
_atom_site_fract_z
Tb1 0.0708 0.1418 0.2873
Sm1 0.2149 0.4286 0.8558
Dy1 0.3568 0.7142 0.4293
Dy2 0.5000 0.0000 0.0000